1.
Sm4Dy3Er5: relaxed, GGA-PBE.

abc: 7.1081 11.2406 12.8127
angles: 151.28 56.29 129.31
Element x y z (fractional)
Dy 0.4198 0.8361 0.6677
Dy 0.0000 0.0000 0.5000
Dy 0.5802 0.1639 0.3323
Er 0.2485 0.5008 0.0008
Er 0.6687 0.3348 0.1660
Er 0.5000 0.0000 0.5000
Er 0.3313 0.6652 0.8340
Er 0.7515 0.4992 0.9992
Sm 0.9170 0.8347 0.6667
Sm 0.8314 0.6634 0.8321
Sm 0.1686 0.3366 0.1679
Sm 0.0830 0.1653 0.3333

Values from the calculation:
- SG: P-1
- VASP energy: -4.61 eV per atom
- Total magnetic moment: 0.000 μB per cell

2.
Sm2Dy5Er6: relaxed, GGA-PBE.

abc: 3.5582 11.5972 20.1171
angles: 90.00 90.00 90.00
Element x y z (fractional)
Sm 0.0000 0.8317 0.2126
Sm 0.0000 0.6683 0.7126
Sm 0.0000 0.3317 0.2874
Sm 0.0000 0.1683 0.7874
Er 0.5000 0.1764 0.6314
Er 0.5000 0.6764 0.8686
Er 0.0000 0.5808 0.1321
Er 0.5000 0.3236 0.1314
Er 0.0000 0.4192 0.8679
Er 0.0000 0.0808 0.3679
Er 0.0000 0.5590 0.4204
Er 0.0000 0.4410 0.5796
Er 0.0000 0.0590 0.0796
Er 0.0000 0.9410 0.9204
Er 0.5000 0.8236 0.3686
Er 0.0000 0.9192 0.6321
Dy 0.5000 0.5900 0.2751
Dy 0.5000 0.9100 0.7751
Dy 0.5000 0.0000 0.5000
Dy 0.5000 0.8006 0.0498
Dy 0.5000 0.6994 0.5498
Dy 0.5000 0.5000 0.0000
Dy 0.5000 0.4100 0.7249
Dy 0.5000 0.3006 0.4502
Dy 0.5000 0.1994 0.9502
Dy 0.5000 0.0900 0.2249

Values from the calculation:
- SG: Pbam
- VASP energy: -4.50 eV per atom
- Total magnetic moment: 0.001 μB per cell

3.
SmDy3Er12: relaxed, GGA-PBE.

abc: 4.9771 4.9771 19.9045
angles: 90.00 90.00 90.00
Element x y z (fractional)
Er 0.5000 0.5000 0.7491
Er 0.5000 0.5000 0.2509
Er 0.0000 0.5000 0.3753
Er 0.5000 0.5000 0.0000
Er 0.0000 0.5000 0.1261
Er 0.5000 0.5000 0.5000
Er 0.5000 0.0000 0.3753
Er 0.5000 0.0000 0.1261
Er 0.0000 0.5000 0.8739
Er 0.5000 0.0000 0.6247
Er 0.5000 0.0000 0.8739
Er 0.0000 0.5000 0.6247
Dy 0.0000 0.0000 0.7495
Dy 0.0000 0.0000 0.5000
Dy 0.0000 0.0000 0.2505
Sm 0.0000 0.0000 0.0000

Values from the calculation:
- SG: P4/mmm
- VASP energy: -4.56 eV per atom
- Total magnetic moment: 0.000 μB per cell

4.
Sm10DyEr4: relaxed, GGA-PBE.

abc: 7.7208 9.4752 9.4752
angles: 80.44 65.96 65.96
Element x y z (fractional)
Er 0.6002 0.1993 0.6002
Er 0.3998 0.8007 0.3998
Er 0.7996 0.6002 0.8007
Er 0.2004 0.3998 0.1993
Sm 0.7500 0.5000 0.5000
Sm 0.5491 0.1010 0.3003
Sm 0.0496 0.1010 0.3003
Sm 0.8494 0.6997 0.1010
Sm 0.9504 0.8990 0.6997
Sm 0.1506 0.3003 0.8990
Sm 0.3499 0.6997 0.1010
Sm 0.6501 0.3003 0.8990
Sm 0.2500 0.5000 0.5000
Sm 0.4509 0.8990 0.6997
Dy 0.0000 0.0000 0.0000

Values from the calculation:
- SG: I4/m
- VASP energy: -3.96 eV per atom
- Total magnetic moment: 0.000 μB per cell

5.
Sm8Dy2Er3: relaxed, GGA-PBE.

abc: 5.6652 7.6811 10.8374
angles: 110.76 90.02 90.00
Element x y z (fractional)
Er 0.0000 0.2857 0.0000
Er 0.5000 0.0000 0.0000
Er 0.0000 0.7143 0.0000
Dy 0.4990 0.2402 0.4804
Dy 0.5010 0.7598 0.5196
Sm 0.0007 0.6707 0.3414
Sm 0.5002 0.8124 0.2119
Sm 0.4998 0.6005 0.7881
Sm 0.5002 0.3995 0.2119
Sm 0.4998 0.1876 0.7881
Sm 0.9993 0.3293 0.6586
Sm 0.9996 0.1312 0.2624
Sm 0.0004 0.8688 0.7376

Values from the calculation:
- SG: C2/m
- VASP energy: -4.45 eV per atom
- Total magnetic moment: 0.000 μB per cell

6.
Sm15Dy2Er2: relaxed, GGA-PBE.

abc: 8.8288 8.8288 8.8288
angles: 78.64 78.64 78.64
Element x y z (fractional)
Sm 0.3784 0.3784 0.8462
Sm 0.6216 0.1538 0.6216
Sm 0.7039 0.0000 0.2961
Sm 0.7039 0.2961 0.0000
Sm 0.0000 0.5000 0.0000
Sm 0.1538 0.6216 0.6216
Sm 0.0000 0.2961 0.7039
Sm 0.2961 0.0000 0.7039
Sm 0.2961 0.7039 0.0000
Sm 0.8462 0.3784 0.3784
Sm 0.0000 0.0000 0.5000
Sm 0.6216 0.6216 0.1538
Sm 0.3784 0.8462 0.3784
Sm 0.0000 0.7039 0.2961
Sm 0.5000 0.0000 0.0000
Er 0.0930 0.0930 0.0930
Er 0.9070 0.9070 0.9070
Dy 0.6845 0.6845 0.6845
Dy 0.3155 0.3155 0.3155

Values from the calculation:
- SG: R-3m
- VASP energy: -4.42 eV per atom
- Total magnetic moment: 0.000 μB per cell

> VASP energy of number 2 (Sm2Dy5Er6)?

-4.50 eV per atom

> What is the formula in the third record?

SmDy3Er12